# NdCd3Ag3

Crystalline NdCd3Ag3 at its relaxed geometry (PBE, the Alexandria database).

extended XYZ file:
```
14
Lattice="7.9712 0.0000 4.6022 2.6571 7.5153 4.6022 0.0000 0.0000 9.2043" Properties=species:S:1:pos:R:3 pbc="T T T"
Ag 6.1011 2.6446 10.5674
Ag 4.5271 4.8706 10.5674
Ag 6.8881 4.8706 9.2043
Ag 4.5271 4.8706 7.8412
Ag 3.7401 2.6446 9.2043
Ag 6.1011 2.6446 7.8412
Nd 2.6571 1.8788 4.6022
Nd 7.9712 5.6365 13.8065
Cd 7.1371 1.1795 12.3619
Cd 1.6680 1.1795 9.2043
Cd 3.4911 6.3358 6.0467
Cd 8.9602 6.3358 9.2043
Cd 7.1371 1.1795 6.0467
Cd 3.4911 6.3358 12.3619
```

Summary:
N(E_F)	7.221	states/eV/f.u.
electronic total energy	-1.51	eV/atom
E above lowest polymorph	0.919	eV/atom
ρ	4849	kg/m3


# NdCd3Ag

Crystalline NdCd3Ag at its relaxed geometry (PBE, the Alexandria database).

extended XYZ file:
```
10
Lattice="-1.6278 0.1787 4.5270 6.9032 -2.2351 2.5704 3.6676 5.5261 1.1006" Properties=species:S:1:pos:R:3 pbc="T T T"
Cd 4.6715 3.4271 3.4949
Cd 6.7656 3.5210 6.8039
Cd 1.0948 1.2193 2.2960
Cd 9.3653 2.9417 5.2019
Cd 4.4654 1.9524 6.0387
Cd 0.8888 -0.2553 4.8398
Nd 4.0235 0.1011 3.3932
Nd 1.5367 3.0706 4.9415
Ag 5.5486 -0.6732 6.5319
Ag 6.9148 1.6098 4.3733
```

Summary:
N(E_F)	2.428	states/eV/f.u.
electronic total energy	-2.29	eV/atom
E above lowest polymorph	0.000	eV/atom
ρ	8249	kg/m3


Q: Number 1 is which compound?
A: NdCd3Ag3